Entry 1:
Computed, not measured: a relaxed structure of Li4Sc3SnS8 at the PBE-GGA level of DFT.

The calculation puts the total energy at -5.48 eV/atom.

a b c (Å): 7.498 7.475 7.497
angles (deg): 120.12 120.00 90.00
Fractional coordinates of all 16 atoms:
Li: 0.500 0.000 0.000
Li: 0.500 0.000 0.500
Li: 0.000 0.000 0.000
Li: 0.000 0.000 0.500
Sc: 0.500 0.500 0.000
Sc: 0.500 0.500 0.500
Sc: 0.000 0.500 0.500
Sn: 0.000 0.500 0.000
S: 0.251 0.742 0.991
S: 0.251 0.742 0.503
S: 0.253 0.260 0.506
S: 0.739 0.742 0.991
S: 0.261 0.258 0.009
S: 0.747 0.740 0.494
S: 0.749 0.258 0.497
S: 0.749 0.258 0.009

=====

Entry 2:
Computed, not measured: a relaxed structure of MnPb4S5 at the PBE-GGA level of DFT.

The calculation puts the total energy at -4.97 eV/atom.

a b c (Å): 5.980 7.158 7.158
angles (deg): 79.95 65.31 65.31
Fractional coordinates of all 10 atoms:
Mn: 0.049 0.000 0.000
Pb: 0.405 0.399 0.803
Pb: 0.804 0.803 0.601
Pb: 0.208 0.197 0.399
Pb: 0.608 0.601 0.197
S: 0.899 0.360 0.831
S: 0.258 0.831 0.640
S: 0.729 0.169 0.360
S: 0.089 0.640 0.169
S: 0.462 0.000 0.000